Density functional theory data (GGA+U) for Na2Ni2PtO6 after structural relaxation.

a b c (Å): 5.2326 5.2326 5.7178
angles (deg): 99.45 99.45 118.99
Closest atoms and distances in Å follow each position.
Fractional positions:
Pt 0.0000 0.0000 0.5000  6 O 2.01-2.02
Ni 0.6650 0.3350 0.5000  6 O 2.02-2.09
O 0.7410 0.7410 0.6901  1 Pt 2.01, 2 Ni 2.03
Na 0.1717 0.8283 0.0000  6 O 2.38-2.43
O 0.6075 0.9419 0.3076  1 Pt 2.02, 2 Ni 2.02-2.09
Ni 0.3350 0.6650 0.5000  6 O 2.02-2.09
O 0.3925 0.0581 0.6924  1 Pt 2.02, 2 Ni 2.02-2.09
O 0.0581 0.3925 0.6924  1 Pt 2.02, 2 Ni 2.02-2.09
Na 0.8283 0.1717 0.0000  6 O 2.38-2.43
O 0.2590 0.2590 0.3099  1 Pt 2.01, 2 Ni 2.03
O 0.9419 0.6075 0.3076  1 Pt 2.02, 2 Ni 2.02-2.09

Values from the calculation:
Calculated volume ... 129.6 Å³/f.u.
Total energy ... -4.972 eV per atom